(1)
# TlCdW2

A relaxed structure of TlCdW2 (PBE, the Alexandria database).

```
4
Lattice="-0.8196 1.5789 2.7218 0.0253 -4.0781 2.3732 4.7056 0.6383 1.0467" Properties=species:S:1:pos:R:3 pbc="T T T"
Tl 2.3654 -1.7199 1.7100
W 0.0000 0.0000 0.0000
W -0.3972 -1.2496 2.5475
Cd 1.9430 1.1086 1.8843
```

Computed properties:
Energy relative to the elements in meV/atom: 919.4
V in Å³ per atom: 18.65
Calculated density in g/cm3: 15.2
N(E_F) in states/eV/f.u.: 2.7
Energy in eV per atom: -6.378
Symmetry: Pmmm (47)

=====

(2)
# TlCdW2

A relaxed structure of TlCdW2 (PBE, the Alexandria database).

```
8
Lattice="-3.0546 5.3492 4.5393 3.0637 -3.4368 6.1117 2.3021 2.5061 5.0452" Properties=species:S:1:pos:R:3 pbc="T T T"
Tl 0.0000 0.0000 0.0000
Tl -0.3740 4.4058 7.4550
W -0.9489 3.5372 4.8598
W 2.1068 -0.8498 5.6510
W 1.7317 2.5948 7.7814
W 1.7328 3.5549 13.1001
Cd 0.0045 0.9562 5.3255
Cd 2.6852 0.0128 8.2412
```

Computed properties:
Energy relative to the elements in meV/atom: 1569.6
V in Å³ per atom: 20.39
Calculated density in g/cm3: 13.9
N(E_F) in states/eV/f.u.: 6.6
Energy in eV per atom: -5.727
Symmetry: I-42d (122)

=====

(3)
# Tl2CdW

A relaxed structure of Tl2CdW (PBE, the Alexandria database).

```
4
Lattice="5.7116 0.0017 0.0000 2.6657 5.0513 0.0000 -4.1886 -2.5265 2.9486" Properties=species:S:1:pos:R:3 pbc="T T T"
Tl 0.0000 0.0000 0.0000
Tl 1.3328 2.5257 1.4743
W 4.1886 2.5265 0.0000
Cd 2.8558 0.0008 1.4743
```

Computed properties:
Energy relative to the elements in meV/atom: 888.6
V in Å³ per atom: 21.26
Calculated density in g/cm3: 13.8
N(E_F) in states/eV/f.u.: 1.9
Energy in eV per atom: -3.762
Symmetry: I-4m2 (119)